[1]
CaRuAu | GGA-PBE | optimized geometry

Structure (CIF):
```
data_CaRuAu
_chemical_formula_sum 'Ca2 Ru2 Au2'
_space_group_name_H-M_alt 'I 4 m m'
_space_group_IT_number 107
_space_group_name_Hall 'I 4 -2'
_cell_length_a 3.544
_cell_length_b 3.544
_cell_length_c 9.946
_cell_angle_alpha 90.00
_cell_angle_beta 90.00
_cell_angle_gamma 90.00
loop_
_atom_site_label
_atom_site_type_symbol
_atom_site_fract_x
_atom_site_fract_y
_atom_site_fract_z
Ca1 Ca 0.000 0.000 0.000
Ru1 Ru 0.000 0.000 0.704
Au1 Au 0.000 0.000 0.301
```

Values from the calculation:
Relative energy among the computed polymorphs (eV per atom): 0.066
Volume (Å³/cell): 124.9
Density (g/cm3): 8.99



[2]
Ca2RuAu | GGA-PBE | optimized geometry

Structure (CIF):
```
data_Ca2RuAu
_chemical_formula_sum 'Ca8 Ru4 Au4'
_space_group_name_H-M_alt 'I -4 2 d'
_space_group_IT_number 122
_space_group_name_Hall 'I -4 2bw'
_cell_length_a 7.775
_cell_length_b 7.775
_cell_length_c 6.049
_cell_angle_alpha 90.00
_cell_angle_beta 90.00
_cell_angle_gamma 90.00
loop_
_atom_site_label
_atom_site_type_symbol
_atom_site_fract_x
_atom_site_fract_y
_atom_site_fract_z
Ca1 Ca 0.235 0.250 0.125
Ru1 Ru 0.000 0.000 0.000
Au1 Au 0.000 0.000 0.500
```

Values from the calculation:
Volume (Å³/cell): 365.7
Density (g/cm3): 6.87
Total DFT energy (no corrections) (eV/atom): -3.978



[3]
CaRuAu | GGA-PBE | optimized geometry

Structure (CIF):
```
data_CaRuAu
_chemical_formula_sum 'Ca1 Ru1 Au1'
_space_group_name_H-M_alt 'P 3 m 1'
_space_group_IT_number 156
_cell_length_a 3.0558
_cell_length_b 3.0558
_cell_length_c 7.1323
_cell_angle_alpha 90.00
_cell_angle_beta 90.00
_cell_angle_gamma 120.00
loop_
_space_group_symop_operation_xyz
'x,y,z'
'-y,x-y,z'
'-x+y,-x,z'
'-y,-x,z'
'-x+y,y,z'
'x,x-y,z'
loop_
_atom_site_label
_atom_site_type_symbol
_atom_site_fract_x
_atom_site_fract_y
_atom_site_fract_z
Ca1 Ca 0.0000 0.0000 0.0000
Ru1 Ru 0.6667 0.3333 0.3255
Au1 Au 0.3333 0.6667 0.6450
```

Values from the calculation:
Relative energy among the computed polymorphs (eV per atom): 0.359
Volume (Å³/cell): 57.7
Density (g/cm3): 9.73



[4]
Ca2RuAu | GGA-PBE | optimized geometry

Structure (CIF):
```
data_Ca2RuAu
_chemical_formula_sum 'Ca4 Ru2 Au2'
_space_group_name_H-M_alt 'I -4 m 2'
_space_group_IT_number 119
_space_group_name_Hall 'I -4 -2'
_cell_length_a 4.265
_cell_length_b 4.265
_cell_length_c 9.519
_cell_angle_alpha 90.00
_cell_angle_beta 90.00
_cell_angle_gamma 90.00
loop_
_atom_site_label
_atom_site_type_symbol
_atom_site_fract_x
_atom_site_fract_y
_atom_site_fract_z
Ca1 Ca 0.000 0.000 0.000
Ca2 Ca 0.000 0.500 0.250
Ru1 Ru 0.000 0.000 0.500
Au1 Au 0.000 0.500 0.750
```

Values from the calculation:
Volume (Å³/cell): 173.1
Density (g/cm3): 7.26
Total DFT energy (no corrections) (eV/atom): -4.148



[5]
CaRuAu2 | GGA-PBE | optimized geometry

Structure (CIF):
```
data_CaRuAu2
_chemical_formula_sum 'Ca2 Ru2 Au4'
_space_group_name_H-M_alt 'I m m m'
_space_group_IT_number 71
_space_group_name_Hall '-I 2 2'
_cell_length_a 4.422
_cell_length_b 4.433
_cell_length_c 7.748
_cell_angle_alpha 90.00
_cell_angle_beta 90.00
_cell_angle_gamma 90.00
loop_
_atom_site_label
_atom_site_type_symbol
_atom_site_fract_x
_atom_site_fract_y
_atom_site_fract_z
Ca1 Ca 0.000 0.000 0.000
Ru1 Ru 0.000 0.000 0.500
Au1 Au 0.000 0.500 0.250
```

Values from the calculation:
Relative energy among the computed polymorphs (eV per atom): 0.099
Volume (Å³/cell): 151.9
Density (g/cm3): 11.70



[6]
Ca2RuAu | GGA-PBE | optimized geometry

Structure (CIF):
```
data_Ca2RuAu
_chemical_formula_sum 'Ca2 Ru1 Au1'
_space_group_name_H-M_alt 'P m m 2'
_space_group_IT_number 25
_cell_length_a 3.238
_cell_length_b 4.700
_cell_length_c 6.001
_cell_angle_alpha 90.00
_cell_angle_beta 90.00
_cell_angle_gamma 90.00
loop_
_space_group_symop_operation_xyz
'x,y,z'
'-x,-y,z'
'-x,y,z'
'x,-y,z'
loop_
_atom_site_label
_atom_site_type_symbol
_atom_site_fract_x
_atom_site_fract_y
_atom_site_fract_z
Ca1 Ca 0.000 0.000 0.000
Ca2 Ca 0.500 0.500 0.366
Ru1 Ru 0.000 0.000 0.517
Au1 Au 0.500 0.500 0.842
```

Values from the calculation:
Volume (Å³/cell): 91.3
Density (g/cm3): 6.87
Total DFT energy (no corrections) (eV/atom): -4.048



[7]
CaRuAu2 | GGA-PBE | optimized geometry

Structure (CIF):
```
data_CaRuAu2
_chemical_formula_sum 'Ca2 Ru2 Au4'
_space_group_name_H-M_alt 'C 1 m 1'
_space_group_IT_number 8
_cell_length_a 10.405
_cell_length_b 3.247
_cell_length_c 4.932
_cell_angle_alpha 90.00
_cell_angle_beta 115.36
_cell_angle_gamma 90.00
loop_
_space_group_symop_operation_xyz
'x,y,z'
'x,-y,z'
'x+1/2,y+1/2,z'
'x+1/2,-y+1/2,z'
loop_
_atom_site_label
_atom_site_type_symbol
_atom_site_fract_x
_atom_site_fract_y
_atom_site_fract_z
Ca1 Ca 0.000 0.000 0.000
Ru1 Ru 0.255 0.500 0.401
Au1 Au 0.240 0.000 0.862
Au2 Au 0.487 0.000 0.474
```

Values from the calculation:
Relative energy among the computed polymorphs (eV per atom): 0.086
Volume (Å³/cell): 150.6
Density (g/cm3): 11.80



[8]
CaRuAu2 | GGA-PBE | optimized geometry

Structure (CIF):
```
data_CaRuAu2
_chemical_formula_sum 'Ca1 Ru1 Au2'
_space_group_name_H-M_alt 'P 4/m m m'
_space_group_IT_number 123
_space_group_name_Hall '-P 4 2'
_cell_length_a 3.449
_cell_length_b 3.449
_cell_length_c 6.594
_cell_angle_alpha 90.00
_cell_angle_beta 90.00
_cell_angle_gamma 90.00
loop_
_atom_site_label
_atom_site_type_symbol
_atom_site_fract_x
_atom_site_fract_y
_atom_site_fract_z
Ca1 Ca 0.000 0.000 0.000
Ru1 Ru 0.000 0.000 0.500
Au1 Au 0.500 0.500 0.286
```

Values from the calculation:
Relative energy among the computed polymorphs (eV per atom): 0.090
Volume (Å³/cell): 78.4
Density (g/cm3): 11.33



[9]
CaRuAu | GGA-PBE | optimized geometry

Structure (CIF):
```
data_CaRuAu
_chemical_formula_sum 'Ca4 Ru4 Au4'
_space_group_name_H-M_alt 'F -4 3 m'
_space_group_IT_number 216
_space_group_name_Hall 'F -4 2 3'
_cell_length_a 6.513
_cell_length_b 6.513
_cell_length_c 6.513
_cell_angle_alpha 90.00
_cell_angle_beta 90.00
_cell_angle_gamma 90.00
loop_
_atom_site_label
_atom_site_type_symbol
_atom_site_fract_x
_atom_site_fract_y
_atom_site_fract_z
Ca1 Ca 0.000 0.000 0.000
Ru1 Ru 0.250 0.250 0.250
Au1 Au 0.250 0.250 0.750
```

Values from the calculation:
Relative energy among the computed polymorphs (eV per atom): 0.760
Volume (Å³/cell): 276.2
Density (g/cm3): 8.13



[10]
CaRuAu | GGA-PBE | optimized geometry

Structure (CIF):
```
data_CaRuAu
_chemical_formula_sum 'Ca4 Ru4 Au4'
_space_group_name_H-M_alt 'F -4 3 m'
_space_group_IT_number 216
_space_group_name_Hall 'F -4 2 3'
_cell_length_a 6.486
_cell_length_b 6.486
_cell_length_c 6.486
_cell_angle_alpha 90.00
_cell_angle_beta 90.00
_cell_angle_gamma 90.00
loop_
_atom_site_label
_atom_site_type_symbol
_atom_site_fract_x
_atom_site_fract_y
_atom_site_fract_z
Ca1 Ca 0.000 0.000 0.000
Ru1 Ru 0.250 0.250 0.750
Au1 Au 0.000 0.000 0.500
```

Values from the calculation:
Relative energy among the computed polymorphs (eV per atom): 0.335
Volume (Å³/cell): 272.8
Density (g/cm3): 8.23



[11]
Ca2RuAu | GGA-PBE | optimized geometry

Structure (CIF):
```
data_Ca2RuAu
_chemical_formula_sum 'Ca2 Ru1 Au1'
_space_group_name_H-M_alt 'P 4 m m'
_space_group_IT_number 99
_cell_length_a 3.569
_cell_length_b 3.569
_cell_length_c 8.070
_cell_angle_alpha 90.00
_cell_angle_beta 90.00
_cell_angle_gamma 90.00
loop_
_space_group_symop_operation_xyz
'x,y,z'
'-y,x,z'
'-x,-y,z'
'y,-x,z'
'-x,y,z'
'y,x,z'
'x,-y,z'
'-y,-x,z'
loop_
_atom_site_label
_atom_site_type_symbol
_atom_site_fract_x
_atom_site_fract_y
_atom_site_fract_z
Ca1 Ca 0.000 0.000 0.000
Ca2 Ca 0.500 0.500 0.416
Ru1 Ru 0.000 0.000 0.643
Au1 Au 0.500 0.500 0.781
```

Values from the calculation:
Volume (Å³/cell): 102.8
Density (g/cm3): 6.11
Total DFT energy (no corrections) (eV/atom): -4.084



[12]
CaRuAu2 | GGA-PBE | optimized geometry

Structure (CIF):
```
data_CaRuAu2
_chemical_formula_sum 'Ca2 Ru2 Au4'
_space_group_name_H-M_alt 'C m m m'
_space_group_IT_number 65
_space_group_name_Hall '-C 2 2'
_cell_length_a 6.415
_cell_length_b 6.428
_cell_length_c 3.632
_cell_angle_alpha 90.00
_cell_angle_beta 90.00
_cell_angle_gamma 90.00
loop_
_atom_site_label
_atom_site_type_symbol
_atom_site_fract_x
_atom_site_fract_y
_atom_site_fract_z
Ca1 Ca 0.000 0.000 0.000
Ru1 Ru 0.000 0.500 0.000
Au1 Au 0.250 0.250 0.500
```

Values from the calculation:
Relative energy among the computed polymorphs (eV per atom): 0.000
Volume (Å³/cell): 149.8
Density (g/cm3): 11.87